! RbAgI2, optimized geometry, DFT GGA-PBE; values from VASP
! Formation energy from raw total energies ... -0.82 eV/atom
! Space group ... R-3m
! Final energy ... -2.55 eV per atom
! Size of the total moment ... 0.000 μB per atom
&SYSTEM
  ibrav = 0, nat = 4, ntyp = 3
/
ATOMIC_SPECIES
I 126.90 I.upf
Rb 85.47 Rb.upf
Ag 107.87 Ag.upf
ATOMIC_POSITIONS angstrom
I -6.774 -0.486 -0.716
I -6.308 -6.817 -4.678
Rb -6.541 -3.652 -2.697
Ag 0.000 0.000 0.000
CELL_PARAMETERS angstrom
-1.794 -2.325 -5.012
-2.091 -5.419 -0.104
-9.197 0.441 -0.279


! Rb3Ag2I6, optimized geometry, DFT GGA-PBE; values from VASP
! Formation energy from raw total energies ... -0.89 eV/atom
! Space group ... I4/mmm
! Final energy ... -2.52 eV per atom
! Size of the total moment ... 0.000 μB per atom
&SYSTEM
  ibrav = 0, nat = 11, ntyp = 3
/
ATOMIC_SPECIES
Rb 85.47 Rb.upf
Ag 107.87 Ag.upf
I 126.90 I.upf
ATOMIC_POSITIONS angstrom
Rb 0.000 0.000 0.000
Rb 2.817 2.817 9.868
Rb 0.000 0.000 5.553
Ag 0.000 0.000 12.174
Ag 2.817 2.817 3.246
I 0.000 2.817 2.529
I 2.817 0.000 2.529
I 2.817 0.000 12.891
I 0.000 2.817 12.891
I 2.817 2.817 6.141
I 0.000 0.000 9.279
CELL_PARAMETERS angstrom
5.634 0.000 0.000
0.000 5.634 0.000
-2.817 -2.817 15.420


! RbAgI3, optimized geometry, DFT GGA-PBE; values from VASP
! Formation energy from raw total energies ... -0.60 eV/atom
! Space group ... C2/c
! Final energy ... -2.29 eV per atom
! Size of the total moment ... 0.000 μB per atom
&SYSTEM
  ibrav = 0, nat = 20, ntyp = 3
/
ATOMIC_SPECIES
Rb 85.47 Rb.upf
Ag 107.87 Ag.upf
I 126.90 I.upf
ATOMIC_POSITIONS angstrom
Rb 4.146 10.136 0.830
Rb 8.396 3.225 9.686
Rb 4.146 5.607 6.585
Rb 8.396 7.755 3.932
Ag 8.419 7.682 8.547
Ag 8.373 3.285 5.087
Ag 4.123 5.680 1.969
Ag 4.169 10.076 5.430
I 6.254 7.089 0.729
I 10.538 11.024 3.826
I 6.288 6.273 9.787
I 2.004 2.338 6.690
I 10.504 6.182 9.699
I 6.288 2.519 6.816
I 2.038 7.180 0.818
I 6.254 10.843 3.701
I 6.274 8.675 6.836
I 2.018 4.643 3.662
I 6.268 4.687 3.681
I 10.524 8.719 6.855
CELL_PARAMETERS angstrom
8.500 0.073 0.058
2.021 10.263 0.632
2.021 3.026 9.827


! RbAg7I12, optimized geometry, DFT GGA-PBE; values from VASP
! Formation energy from raw total energies ... -0.24 eV/atom
! Space group ... Im-3
! Final energy ... -2.22 eV per atom
! Size of the total moment ... 0.000 μB per atom
&SYSTEM
  ibrav = 0, nat = 20, ntyp = 3
/
ATOMIC_SPECIES
Rb 85.47 Rb.upf
Ag 107.87 Ag.upf
I 126.90 I.upf
ATOMIC_POSITIONS angstrom
Rb 0.000 0.000 0.000
Ag 2.952 -3.521 3.174
Ag -4.444 -3.357 0.410
Ag 1.650 -2.742 -4.577
Ag 4.523 -1.453 -0.906
Ag -1.571 -2.068 4.080
Ag 0.079 -4.810 -0.497
Ag -2.873 -1.289 -3.670
I 2.444 -3.189 0.377
I -4.472 -3.824 -3.720
I -2.286 -6.431 -1.371
I 4.630 -5.796 2.727
I -1.753 -3.362 1.382
I -5.043 -5.847 1.686
I 1.911 -6.258 -2.376
I 5.201 -3.773 -2.679
I -0.528 -4.673 5.132
I 0.686 -4.946 -6.126
I -0.535 -2.916 -2.737
I 0.694 -6.704 1.744
CELL_PARAMETERS angstrom
-3.141 -4.136 8.160
-5.747 -2.578 -7.341
9.046 -2.906 -1.813